No. 1
# Na2ZnAu2

Crystalline Na2ZnAu2 at its relaxed geometry (PBE, Alexandria). Values from VASP.

The energy relative to the elements is 0.04 eV per atom. The space group is No. 139. The magnetization is 0.0 μB per cell. As for the polymorph energy (0 for the lowest one): 0.356 eV/atom. As for the density of states at the Fermi level: 0.95 states/eV/f.u.

Geometry as Quantum ESPRESSO input:
```
&SYSTEM
  ibrav = 0, nat = 5, ntyp = 3
/
ATOMIC_SPECIES
Na 22.99 Na.upf
Zn 65.41 Zn.upf
Au 196.97 Au.upf
CELL_PARAMETERS angstrom
-2.0834 2.0834 6.7580
2.0834 -2.0834 6.7580
2.0834 2.0834 -6.7580
ATOMIC_POSITIONS crystal
Na 0.2500 0.7500 0.5000
Na 0.7500 0.2500 0.5000
Zn 0.0000 0.0000 0.0000
Au 0.4013 0.4013 0.0000
Au 0.5987 0.5987 0.0000
```


No. 2
# CaAcEuCd

Crystalline CaAcEuCd at its relaxed geometry (PBE, Alexandria). Values from VASP.

The energy relative to the elements is -0.05 eV per atom. The space group is No. 216. The magnetization is 7.7 μB per cell. As for the density of states at the Fermi level: 10.98 states/eV/f.u.

Geometry as Quantum ESPRESSO input:
```
&SYSTEM
  ibrav = 0, nat = 4, ntyp = 4
/
ATOMIC_SPECIES
Ca 40.08 Ca.upf
Ac 227.00 Ac.upf
Eu 151.96 Eu.upf
Cd 112.41 Cd.upf
CELL_PARAMETERS angstrom
0.0000 4.1734 4.1734
4.1734 0.0000 4.1734
4.1734 4.1734 0.0000
ATOMIC_POSITIONS crystal
Ca 0.0000 0.0000 0.0000
Ac 0.7500 0.7500 0.7500
Eu 0.2500 0.2500 0.2500
Cd 0.5000 0.5000 0.5000
```


No. 3
# TlZnP2

Crystalline TlZnP2 at its relaxed geometry (PBE, Alexandria). Values from VASP.

The energy relative to the elements is 0.63 eV per atom. The space group is No. 123. The magnetization is 0.0 μB per cell. As for the polymorph energy (0 for the lowest one): 0.522 eV/atom. As for the density of states at the Fermi level: 2.51 states/eV/f.u.

Geometry as Quantum ESPRESSO input:
```
&SYSTEM
  ibrav = 0, nat = 4, ntyp = 3
/
ATOMIC_SPECIES
Tl 204.38 Tl.upf
Zn 65.41 Zn.upf
P 30.97 P.upf
CELL_PARAMETERS angstrom
4.5719 0.0000 0.0000
0.0000 4.5719 0.0000
0.0000 0.0000 3.7107
ATOMIC_POSITIONS crystal
Tl 0.0000 0.0000 0.0000
Zn 0.5000 0.5000 0.0000
P 0.0000 0.5000 0.5000
P 0.5000 0.0000 0.5000
```


No. 4
# K3Np2Cl8

Crystalline K3Np2Cl8 at its relaxed geometry (PBE, Alexandria). Values from VASP.

The space group is No. 12. The magnetization is 9.0 μB per cell. The total energy comes out at -66.23 eV/cell. As for the density of states at the Fermi level: 17.27 states/eV/f.u.

Geometry as Quantum ESPRESSO input:
```
&SYSTEM
  ibrav = 0, nat = 13, ntyp = 3
/
ATOMIC_SPECIES
K 39.10 K.upf
Np 237.00 Np.upf
Cl 35.45 Cl.upf
CELL_PARAMETERS angstrom
7.9127 -4.0832 0.0000
7.9127 4.0832 0.0000
-2.5629 0.0000 6.8759
ATOMIC_POSITIONS crystal
K 0.0000 0.0000 0.0000
K 0.2717 0.7283 0.5000
K 0.7283 0.2717 0.5000
Np 0.2610 0.2610 0.8408
Np 0.7390 0.7390 0.1592
Cl 0.0969 0.6247 0.0798
Cl 0.1320 0.1320 0.4711
Cl 0.3753 0.9031 0.9202
Cl 0.3873 0.3873 0.6671
Cl 0.6127 0.6127 0.3329
Cl 0.6247 0.0969 0.0798
Cl 0.8680 0.8680 0.5289
Cl 0.9031 0.3753 0.9202
```